# 1
9
Lattice="-2.2833 -6.9630 3.8851 4.1449 -1.6496 -0.5205 1.2097 1.7983 3.9339" Properties=species:S:1:pos:R:3 comment="Sr2Cd2O5 PBE-GGA optimized geometry" de_polymorph_ev_per_atom=0.365 pbc="T T T"
O 1.5356 -3.4071 3.6493
O 0.0057 -7.1272 3.2564
O 1.8559 -1.4853 0.1083
O -1.4619 -5.4033 5.4835
O 0.3882 0.2386 2.3355
Sr 2.1460 -1.5459 2.6108
Sr 0.9253 -5.2683 4.6878
Cd -1.1417 -3.4815 1.9426
Cd 0.0000 0.0000 0.0000



# 2
12
Lattice="1.9741 -7.4873 0.0000 1.9741 7.4873 0.0000 0.0000 0.0000 11.7277" Properties=species:S:1:pos:R:3 comment="ErTlSbSe3 PBE-GGA optimized geometry" m_tot_mub_per_cell=0.01 energy_ev_per_atom=-4.408 pbc="T T T"
Se 1.9741 -1.9943 5.9894
Se 1.9741 1.9943 0.1255
Se 1.9741 7.2332 2.9319
Se 1.9741 -7.2332 8.7958
Se 1.9741 1.9943 5.7384
Se 1.9741 -1.9943 11.6022
Er 0.0000 0.0000 5.8639
Er 0.0000 0.0000 0.0000
Tl 1.9741 -2.7950 2.9319
Tl 1.9741 2.7950 8.7958
Sb 1.9741 1.9094 2.9319
Sb 1.9741 -1.9094 8.7958



What did the first record say?
9
Lattice="-2.2833 -6.9630 3.8851 4.1449 -1.6496 -0.5205 1.2097 1.7983 3.9339" Properties=species:S:1:pos:R:3 comment="Sr2Cd2O5 PBE-GGA optimized geometry" de_polymorph_ev_per_atom=0.365 pbc="T T T"
O 1.5356 -3.4071 3.6493
O 0.0057 -7.1272 3.2564
O 1.8559 -1.4853 0.1083
O -1.4619 -5.4033 5.4835
O 0.3882 0.2386 2.3355
Sr 2.1460 -1.5459 2.6108
Sr 0.9253 -5.2683 4.6878
Cd -1.1417 -3.4815 1.9426
Cd 0.0000 0.0000 0.0000